The following is a SCAN calculation of a PBEsol-optimized structure of Zn2Au2Br, from the Alexandria database.

Results
* DFT total energy: -37.0761 eV per atom
* E_form (uncorrected): -0.115 eV per atom

abc: 3.870 3.870 12.494
angles: 90.00 90.00 90.00
Space group I4/mmm (No. 139)
Unique sites:
Zn  0.000  0.500  0.250 [4 per cell]
Au  0.000  0.000  0.113 [4 per cell]
Br  0.000  0.000  0.500 [2 per cell]


The following is a SCAN calculation of a PBEsol-optimized structure of La2MgCd, from the Alexandria database.

Results
* DFT total energy: -30.6755 eV per atom
* E_form: -1.1 eV per formula unit

abc: 7.760 7.760 7.760
angles: 90.00 90.00 90.00
Space group Fm-3m (No. 225)
Unique sites:
La  0.250  0.250  0.250 [8 per cell]
Mg  0.000  0.000  0.000 [4 per cell]
Cd  0.000  0.000  0.500 [4 per cell]


The following is a SCAN calculation of a PBEsol-optimized structure of RbGaHg2Se, from the Alexandria database.

Results
* DFT total energy: -38.5159 eV per atom
* E_form (uncorrected): 0.183 eV per atom

abc: 5.442 5.442 6.136
angles: 90.00 90.00 90.00
Space group P4/mmm (No. 123)
Unique sites:
Rb  0.000  0.000  0.000 [1 per cell]
Ga  0.500  0.500  0.000 [1 per cell]
Hg  0.000  0.500  0.500 [2 per cell]
Se  0.000  0.000  0.500 [1 per cell]


The following is a SCAN calculation of a PBEsol-optimized structure of ZnIr5, from the Alexandria database.

Results
* DFT total energy: -61.5029 eV per atom
* E_form: 0.0 eV per formula unit

abc: 3.831 11.566 3.796
angles: 90.00 90.00 90.00
Space group Cmmm (No. 65)
Unique sites:
Zn  0.000  0.000  0.000 [2 per cell]
Ir  0.000  0.166  0.500 [4 per cell]
Ir  0.000  0.328  0.000 [4 per cell]
Ir  0.000  0.500  0.500 [2 per cell]


The following is a SCAN calculation of a PBEsol-optimized structure of Ca2FeW, from the Alexandria database.

Results
* DFT total energy: -25.7508 eV per atom
* E_form: 4.1 eV per formula unit

abc: 5.658 9.771 2.787
angles: 90.00 90.31 90.00
Space group C2/m (No. 12)
Unique sites:
Ca  0.250  0.250  0.000 [4 per cell]
Fe  0.000  0.000  0.500 [2 per cell]
W  0.000  0.500  0.500 [2 per cell]


The following is a SCAN calculation of a PBEsol-optimized structure of Cs8Na4Y3HoCl24, from the Alexandria database.

Results
* DFT total energy: -18.4948 eV per atom
* E_form (uncorrected): -2.412 eV per atom

abc: 7.526 10.644 15.055
angles: 90.00 90.00 90.00
Space group Pmmm (No. 47)
Unique sites:
Cs  0.000  0.250  0.000 [2 per cell]
Cs  0.000  0.250  0.500 [2 per cell]
Cs  0.500  0.250  0.250 [4 per cell]
Na  0.000  0.000  0.250 [2 per cell]
Na  0.500  0.500  0.000 [1 per cell]
Na  0.500  0.500  0.500 [1 per cell]
Y  0.000  0.500  0.250 [2 per cell]
Y  0.500  0.000  0.000 [1 per cell]
Ho  0.500  0.000  0.500 [1 per cell]
Cl  0.000  0.255  0.250 [4 per cell]
Cl  0.244  0.500  0.128 [4 per cell]
Cl  0.245  0.500  0.372 [4 per cell]
Cl  0.255  0.000  0.122 [4 per cell]
Cl  0.257  0.000  0.378 [4 per cell]
Cl  0.500  0.243  0.500 [2 per cell]
Cl  0.500  0.244  0.000 [2 per cell]


The following is a SCAN calculation of a PBEsol-optimized structure of Er3Fe4Ge4, from the Alexandria database.

Results
* DFT total energy: -27.7651 eV per atom
* E_form: -5.5 eV per formula unit

abc: 3.499 4.075 25.181
angles: 90.00 90.00 90.00
Space group Immm (No. 71)
Unique sites:
Er  0.000  0.000  0.000 [2 per cell]
Er  0.000  0.500  0.144 [4 per cell]
Fe  0.000  0.000  0.253 [4 per cell]
Fe  0.000  0.500  0.405 [4 per cell]
Ge  0.000  0.000  0.448 [4 per cell]
Ge  0.000  0.500  0.311 [4 per cell]


The following is a SCAN calculation of a PBEsol-optimized structure of LiZr2RhPb, from the Alexandria database.

Results
* DFT total energy: -34.4530 eV per atom
* E_form: 1.1 eV per formula unit

abc: 4.678 4.678 4.245
angles: 90.00 90.00 90.00
Space group P4/mmm (No. 123)
Unique sites:
Li  0.000  0.000  0.000 [1 per cell]
Zr  0.000  0.500  0.000 [2 per cell]
Rh  0.000  0.000  0.500 [1 per cell]
Pb  0.500  0.500  0.500 [1 per cell]


The following is a SCAN calculation of a PBEsol-optimized structure of Zr2ScOs, from the Alexandria database.

Results
* DFT total energy: -37.2727 eV per atom
* E_form: -1.6 eV per formula unit

abc: 3.283 4.776 9.912
angles: 90.00 90.00 90.00
Space group Imm2 (No. 44)
Unique sites:
Zr  0.000  0.000  0.000 [2 per cell]
Zr  0.000  0.500  0.220 [2 per cell]
Sc  0.000  0.000  0.436 [2 per cell]
Os  0.000  0.500  0.716 [2 per cell]


The following is a SCAN calculation of a PBEsol-optimized structure of TiI2O, from the Alexandria database.

Results
* DFT total energy: -23.7988 eV per atom
* E_form (uncorrected): 0.137 eV per atom

abc: 6.510 6.510 9.292
angles: 90.00 90.00 90.00
Space group I-42d (No. 122)
Unique sites:
Ti  0.000  0.000  0.000 [4 per cell]
I  0.240  0.750  0.625 [8 per cell]
O  0.000  0.000  0.500 [4 per cell]


The following is a SCAN calculation of a PBEsol-optimized structure of Li2Mn3WO8, from the Alexandria database.

Results
* DFT total energy: -15.0091 eV per atom
* energy above the lowest structure with this stoichiometry: 0.00 eV per formula unit
* E_form (uncorrected): -2.218 eV per atom

abc: 5.8778 5.8778 9.6671
angles: 90.00 90.00 120.00
Space group P6_3mc (No. 186)
Unique sites:
Li  0.0000  0.0000  0.0000 [2 per cell]
Li  0.3333  0.6667  0.0805 [2 per cell]
Mn  0.1698  0.3396  0.7739 [6 per cell]
W  0.3333  0.6667  0.4996 [2 per cell]
O  0.0000  0.0000  0.1884 [2 per cell]
O  0.0374  0.5187  0.6352 [6 per cell]
O  0.1707  0.3414  0.3990 [6 per cell]
O  0.3333  0.6667  0.8718 [2 per cell]


Calculated N(E_F), 0.316, 0.996, 0.729, 0.814, 0.937, 0.000, 0.621, 0.868, 0.599, 0.479, 0.215 states/eV/atom (same order as the records).